[1]
An optimized crystal structure of Ce4AlCd. Source: the Alexandria database, functional GGA-PBE.

Lattice parameters (Å, degrees): 7.8959 7.8959 5.4651 101.48 101.48 108.11
With the nearest neighbours (Å) after each atom.
Element x y z (fractional)
Ce 0.0564 0.6579 0.8811  3 Ce 2.76-3.01
Ce 0.1695 0.3947 0.6197  2 Ce 2.76-2.83
Ce 0.3421 0.9436 0.6189  3 Ce 2.76-3.01
Ce 0.3947 0.1695 0.1197  2 Ce 2.76-2.83
Ce 0.6053 0.8305 0.8803  2 Ce 2.76-2.83
Ce 0.6579 0.0564 0.3811  3 Ce 2.76-3.01
Ce 0.8305 0.6053 0.3803  2 Ce 2.76-2.83
Ce 0.9436 0.3421 0.1189  3 Ce 2.76-3.01
Al 0.0089 0.9911 0.2500  2 Al 2.74
Al 0.9911 0.0089 0.7500  2 Al 2.74
Cd 0.4046 0.5954 0.2500  10 Ce 3.27-3.41
Cd 0.5954 0.4046 0.7500  10 Ce 3.27-3.41

Computed properties:
Distance to the lowest polymorph of the same formula, meV per atom: 22
Space group: No. 15
Formation enthalpy at 0 K, eV per atom: -0.127
Size of the total moment, μB per cell: 0.00
Calculated total energy, eV for the cell shown: -58.3



[2]
An optimized crystal structure of Ce2AlCd. Source: the Alexandria database, functional GGA-PBE.

Lattice parameters (Å, degrees): 4.4515 4.4515 4.8069 90.00 90.00 90.00
With the nearest neighbours (Å) after each atom.
Element x y z (fractional)
Ce 0.0000 0.5000 0.0000  4 Ce 3.15, 4 Cd 3.28, 4 Al 3.28
Ce 0.5000 0.0000 0.0000  4 Ce 3.15, 4 Cd 3.28, 4 Al 3.28
Al 0.0000 0.0000 0.5000  4 Cd 3.15, 8 Ce 3.28
Cd 0.5000 0.5000 0.5000  4 Al 3.15, 8 Ce 3.28

Computed properties:
Space group: No. 123
Formation enthalpy at 0 K, eV per atom: -0.218
Size of the total moment, μB per cell: 0.48
Calculated total energy, eV for the cell shown: -17.4



[3]
An optimized crystal structure of Ce2AlCd16. Source: the Alexandria database, functional GGA-PBE.

Lattice parameters (Å, degrees): 7.6558 7.6558 7.6558 82.55 82.55 82.55
With the nearest neighbours (Å) after each atom.
Element x y z (fractional)
Ce 0.0000 0.0000 0.0000  13 Cd 3.43-3.52
Ce 0.3445 0.3445 0.3445  1 Al 3.43, 12 Cd 3.53-3.68
Al 0.5749 0.5749 0.5749  4 Cd 2.84
Cd 0.0135 0.0135 0.5453  9 Cd 2.87-3.14
Cd 0.0135 0.5453 0.0135  9 Cd 2.87-3.14
Cd 0.2018 0.6527 0.6527  1 Al 2.84, 8 Cd 2.92-3.07
Cd 0.3010 0.3010 0.8799  8 Cd 2.87-3.16
Cd 0.3010 0.8799 0.3010  8 Cd 2.87-3.16
Cd 0.3683 0.6738 0.9768  8 Cd 2.92-3.16
Cd 0.3683 0.9768 0.6738  8 Cd 2.92-3.16
Cd 0.5453 0.0135 0.0135  9 Cd 2.87-3.14
Cd 0.6527 0.2018 0.6527  1 Al 2.84, 8 Cd 2.92-3.07
Cd 0.6527 0.6527 0.2018  1 Al 2.84, 8 Cd 2.92-3.07
Cd 0.6738 0.3683 0.9768  8 Cd 2.92-3.16
Cd 0.6738 0.9768 0.3683  8 Cd 2.92-3.16
Cd 0.7657 0.7657 0.7657  1 Al 2.84, 3 Cd 3.05
Cd 0.8799 0.3010 0.3010  8 Cd 2.87-3.16
Cd 0.9768 0.3683 0.6738  8 Cd 2.92-3.16
Cd 0.9768 0.6738 0.3683  8 Cd 2.92-3.16

Computed properties:
Space group: No. 160
Formation enthalpy at 0 K, eV per atom: -0.103
Size of the total moment, μB per cell: 2.42
Calculated total energy, eV for the cell shown: -32.2



[4]
An optimized crystal structure of Ce5AlCd2. Source: the Alexandria database, functional GGA-PBE.

Lattice parameters (Å, degrees): 10.1748 10.1748 10.1748 153.83 153.83 37.35
With the nearest neighbours (Å) after each atom.
Element x y z (fractional)
Ce 0.0000 0.0000 0.0000  4 Al 3.26, 8 Ce 3.28
Ce 0.1213 0.6213 0.5000  6 Ce 3.26-3.28, 2 Al 3.28, 4 Cd 3.37-3.40
Ce 0.3787 0.8787 0.5000  6 Ce 3.26-3.28, 2 Al 3.28, 4 Cd 3.37-3.40
Ce 0.6213 0.1213 0.5000  6 Ce 3.26-3.28, 2 Al 3.28, 4 Cd 3.37-3.40
Ce 0.8787 0.3787 0.5000  6 Ce 3.26-3.28, 2 Al 3.28, 4 Cd 3.37-3.40
Al 0.5000 0.5000 0.0000  12 Ce 3.26-3.28
Cd 0.2489 0.2489 0.0000  4 Cd 3.26, 8 Ce 3.37-3.40
Cd 0.7511 0.7511 0.0000  4 Cd 3.26, 8 Ce 3.37-3.40

Computed properties:
Space group: No. 139
Formation enthalpy at 0 K, eV per atom: -0.147
Size of the total moment, μB per cell: 3.72
Calculated total energy, eV for the cell shown: -36.4



[5]
An optimized crystal structure of Ce6AlCd2. Source: the Alexandria database, functional GGA-PBE.

Lattice parameters (Å, degrees): 9.1138 9.1138 2.9685 90.00 90.00 120.00
With the nearest neighbours (Å) after each atom.
Element x y z (fractional)
Ce 0.0000 0.3186 0.0000  4 Ce 2.90-2.97
Ce 0.0000 0.6814 0.0000  4 Ce 2.90-2.97
Ce 0.3186 0.0000 0.0000  4 Ce 2.90-2.97
Ce 0.3186 0.3186 0.0000  4 Ce 2.90-2.97
Ce 0.6814 0.0000 0.0000  4 Ce 2.90-2.97
Ce 0.6814 0.6814 0.0000  4 Ce 2.90-2.97
Al 0.0000 0.0000 0.5000  2 Al 2.97, 12 Ce 3.26
Cd 0.3333 0.6667 0.5000  2 Cd 2.97
Cd 0.6667 0.3333 0.5000  2 Cd 2.97

Computed properties:
Space group: No. 191
Formation enthalpy at 0 K, eV per atom: -0.139
Size of the total moment, μB per cell: 1.58
Calculated total energy, eV for the cell shown: -42.4



[6]
An optimized crystal structure of Ce2Al2Cd. Source: the Alexandria database, functional GGA-PBE.

Lattice parameters (Å, degrees): 8.0282 8.0282 3.2937 90.00 90.00 146.32
With the nearest neighbours (Å) after each atom.
Element x y z (fractional)
Ce 0.1201 0.8799 0.0000  6 Al 3.14-3.15, 2 Ce 3.29, 4 Cd 3.39
Ce 0.8799 0.1201 0.0000  6 Al 3.14-3.15, 2 Ce 3.29, 4 Cd 3.39
Al 0.2948 0.7052 0.5000  2 Al 2.70
Al 0.7052 0.2948 0.5000  2 Al 2.70
Cd 0.5000 0.5000 0.5000  2 Al 3.15, 2 Cd 3.29, 8 Ce 3.39

Computed properties:
Space group: No. 65
Formation enthalpy at 0 K, eV per atom: -0.292
Size of the total moment, μB per cell: 1.13
Calculated total energy, eV for the cell shown: -21.7



[7]
An optimized crystal structure of Ce2AlCd. Source: the Alexandria database, functional GGA-PBE.

Lattice parameters (Å, degrees): 3.1513 3.1513 9.5418 90.00 90.00 90.00
With the nearest neighbours (Å) after each atom.
Element x y z (fractional)
Ce 0.0000 0.0000 0.2337  4 Ce 3.15, 4 Al 3.15, 4 Cd 3.38
Ce 0.0000 0.0000 0.7663  4 Ce 3.15, 4 Al 3.15, 4 Cd 3.38
Al 0.5000 0.5000 0.0000  4 Al 3.15, 8 Ce 3.15
Cd 0.5000 0.5000 0.5000  4 Cd 3.15, 8 Ce 3.38

Computed properties:
Space group: No. 123
Formation enthalpy at 0 K, eV per atom: -0.263
Size of the total moment, μB per cell: 0.00
Calculated total energy, eV for the cell shown: -17.6



[8]
An optimized crystal structure of Ce6Al2Cd. Source: the Alexandria database, functional GGA-PBE.

Lattice parameters (Å, degrees): 9.0314 9.0314 2.9570 90.00 90.00 120.00
With the nearest neighbours (Å) after each atom.
Element x y z (fractional)
Ce 0.0000 0.3460 0.0000  3 Ce 2.78-2.96
Ce 0.0000 0.6540 0.0000  3 Ce 2.78-2.96
Ce 0.3460 0.0000 0.0000  3 Ce 2.78-2.96
Ce 0.3460 0.3460 0.0000  3 Ce 2.78-2.96
Ce 0.6540 0.0000 0.0000  3 Ce 2.78-2.96
Ce 0.6540 0.6540 0.0000  3 Ce 2.78-2.96
Al 0.3333 0.6667 0.5000  2 Al 2.96, 12 Ce 3.30
Al 0.6667 0.3333 0.5000  2 Al 2.96, 12 Ce 3.30
Cd 0.0000 0.0000 0.5000  2 Cd 2.96

Computed properties:
Space group: No. 191
Formation enthalpy at 0 K, eV per atom: -0.180
Size of the total moment, μB per cell: 1.78
Calculated total energy, eV for the cell shown: -45.6